[1]
Material: NaSrCdS2
Method: DFT, PBE
State: optimized geometry

energy relative to the elements, uncorrected = -0.98 eV per atom
space group = No. 13

Cell and atoms, written as POSCAR:
```
NaSrCdS2
1.0
7.284 0.000 0.000
0.000 4.800 0.000
-1.319 0.000 7.626
Na Sr Cd S
2 2 2 4
Cartesian
-0.330 0.042 1.907 Na
-0.989 4.758 5.720 Na
2.653 1.478 5.720 Sr
3.312 3.323 1.907 Sr
0.000 2.400 0.000 Cd
-0.660 2.400 3.813 Cd
2.055 0.862 0.323 S
1.395 3.938 4.136 S
4.570 0.862 3.490 S
3.910 3.938 7.304 S
```



[2]
Material: KBaNa3
Method: DFT, PBE
State: optimized geometry

formation energy = 0.054 eV per atom
space group = No. 11
relative energy among the computed polymorphs = 9 meV per atom

Cell and atoms, written as POSCAR:
```
KBaNa3
1.0
7.890 0.000 0.000
0.000 6.508 0.000
-1.707 0.000 9.604
K Ba Na
2 2 6
Cartesian
1.552 1.627 1.434 K
4.632 4.881 8.170 K
2.275 1.627 6.144 Ba
3.908 4.881 3.460 Ba
-0.183 4.881 2.175 Na
-0.120 4.881 5.541 Na
0.901 4.881 8.908 Na
5.283 1.627 0.696 Na
6.303 1.627 4.063 Na
6.367 1.627 7.429 Na
```



[3]
Material: Ce2PmIn
Method: DFT, PBE
State: optimized geometry

formation energy = -0.086 eV per atom
space group = No. 123
relative energy among the computed polymorphs = 117 meV per atom

Cell and atoms, written as POSCAR:
```
Ce2PmIn
1.0
4.205 0.000 0.000
0.000 4.205 0.000
0.000 0.000 6.890
Ce Pm In
2 1 1
Cartesian
0.000 0.000 1.428 Ce
0.000 0.000 5.462 Ce
2.103 2.103 3.445 Pm
2.103 2.103 0.000 In
```



no.,total magnetization (μB/cell),total DFT energy (no corrections) (eV per atom)
1,0.00,-3.410
2,0.00,-1.341
3,2.29,-4.925